Density functional theory data (PBE) for a geometry-optimized LiAg2As structure.

a = 4.1160 Å, b = 4.1160 Å, c = 4.0144 Å
α = 90.00°, β = 90.00°, γ = 90.00°
Last column: nearest neighbours and their distance in Å.
Positions (direct):
As 0.5000 0.0000 0.5000  8 Ag 2.87, 4 Li 2.91
Ag 0.0000 0.0000 0.0000  4 As 2.87, 4 Li 2.87, 4 Ag 2.91
Ag 0.5000 0.5000 0.0000  4 As 2.87, 4 Li 2.87, 4 Ag 2.91
Li 0.0000 0.5000 0.5000  8 Ag 2.87, 4 As 2.91

Properties
DOS(E_F)   0.8 states/eV per cell
E_form   -0.177 eV/atom